No. 1
# HfCdMo

Crystalline HfCdMo at its relaxed geometry (PBE-GGA, Alexandria via LeMat-Bulk).

The distance to the lowest polymorph of the same formula is 0 meV/atom. The calculation puts the density of states at the Fermi level at 1.82 states/eV/f.u. For the volume, the calculation gives 19.77 Å³ per atom.

abc: 3.201 3.213 11.971
angles: 74.45 90.00 90.00
Atoms (fractional coordinates):
Hf  0.250  0.031  0.219
Hf  0.750  0.969  0.781
Cd  0.250  0.659  0.590
Cd  0.750  0.341  0.410
Mo  0.250  0.314  0.936
Mo  0.750  0.686  0.064

No. 2
# Tb8Cu2Pt

Crystalline Tb8Cu2Pt at its relaxed geometry (PBE-GGA, Alexandria via LeMat-Bulk).

The distance to the lowest polymorph of the same formula is 0 meV/atom. The calculation puts the density of states at the Fermi level at 9.64 states/eV/f.u. For the volume, the calculation gives 26.21 Å³ per atom.

abc: 5.077 6.700 9.091
angles: 103.31 106.22 90.00
Atoms (fractional coordinates):
Tb  0.798  0.664  0.595
Tb  0.410  0.555  0.821
Tb  0.333  0.023  0.667
Tb  0.202  0.336  0.405
Tb  0.033  0.783  0.067
Tb  0.590  0.445  0.179
Tb  0.667  0.977  0.333
Tb  0.967  0.217  0.933
Pt  0.500  0.000  0.000
Cu  0.188  0.737  0.376
Cu  0.812  0.263  0.624

No. 3
# ErTh5As6

Crystalline ErTh5As6 at its relaxed geometry (PBE-GGA, Alexandria via LeMat-Bulk).

The calculation puts the density of states at the Fermi level at 6.69 states/eV/f.u. For the volume, the calculation gives 26.72 Å³ per atom.

abc: 7.323 7.321 7.324
angles: 60.01 80.39 70.49
Atoms (fractional coordinates):
As  0.753  0.756  0.000
As  0.247  0.244  0.000
As  0.245  0.591  0.327
As  0.755  0.081  0.327
As  0.755  0.409  0.673
As  0.245  0.919  0.673
Th  0.000  0.666  0.668
Th  0.500  0.832  0.336
Th  0.500  0.500  0.000
Th  0.500  0.168  0.664
Th  0.000  0.334  0.332
Er  0.000  0.000  0.000

What total DFT energy (no corrections) values result from the calculations? In sequence: -7.30 -4.96 -7.21 eV per atom.